36
Lattice="-0.898 6.880 -6.210 -7.532 3.093 4.517 5.400 5.459 5.267" Properties=species:S:1:pos:R:3 comment="PuCd11 | OQMD | PBE-GGA | optimized geometry" m_tot_mub_per_fu=0.21 final_energy_ev_per_atom=-1.84 pbc="T T T"
Cd -2.901 3.431 -0.582
Cd -3.181 5.577 -2.519
Cd -5.250 4.396 0.827
Cd -5.530 6.542 -1.110
Cd -0.473 2.410 0.558
Cd -1.091 7.141 -3.712
Cd -5.653 4.537 3.664
Cd -6.271 9.268 -0.606
Cd -1.015 5.708 -0.511
Cd -2.573 4.818 2.009
Cd -2.995 8.050 -0.908
Cd -4.553 7.161 1.611
Cd 1.549 4.245 -0.324
Cd 1.269 6.391 -2.261
Cd -0.734 2.942 3.366
Cd -3.083 3.907 4.775
Cd 0.465 5.374 2.185
Cd 0.043 8.606 -0.732
Cd -1.515 7.716 1.787
Cd -3.073 6.827 4.307
Cd -3.495 10.059 1.390
Cd 3.233 5.948 1.319
Cd 2.953 8.094 -0.618
Cd 0.951 4.645 5.009
Cd -1.399 5.610 6.418
Cd 1.522 8.272 1.963
Cd -0.036 7.382 4.483
Cd -0.458 10.614 1.566
Cd -2.016 9.725 4.085
Cd 3.240 6.164 4.180
Cd 2.622 10.895 -0.090
Cd -1.939 8.291 7.286
Cd -2.557 13.022 3.016
Pu -0.449 3.440 -3.105
Pu -3.766 1.547 2.258
Pu 2.700 2.730 2.634